one.
## Pm5Y5Ho (PBE)

Data for crystalline Pm5Y5Ho at its relaxed geometry.

POSCAR file:
```
Pm5Y5Ho
1.0
-4.170 -2.329 -3.714
-0.711 -4.735 8.696
-3.617 5.976 0.313
Pm Y Ho
5 5 1
direct
0.671 0.341 0.178
0.625 0.249 0.632
0.000 0.000 0.500
0.375 0.751 0.368
0.329 0.659 0.822
0.824 0.648 0.073
0.822 0.645 0.580
0.500 0.000 0.000
0.178 0.355 0.420
0.176 0.352 0.927
0.000 0.000 0.000
```

Fermi-level density of states, states/eV per atom: 1.798
Calculated density, g/cm³: 5.908

---

two.
## Pm5Y5Ho (PBE)

Data for crystalline Pm5Y5Ho at its relaxed geometry.

POSCAR file:
```
Pm5Y5Ho
1.0
6.158 0.000 0.000
-3.079 5.333 0.000
0.000 0.000 11.491
Pm Y Ho
5 5 1
direct
0.341 0.170 0.500
0.000 0.000 0.263
0.830 0.659 0.500
0.830 0.170 0.500
0.000 0.000 0.737
0.667 0.333 0.160
0.667 0.333 0.840
0.333 0.667 0.318
0.333 0.667 0.682
0.000 0.000 0.000
0.333 0.667 0.000
```

Fermi-level density of states, states/eV per atom: 1.802
Calculated density, g/cm³: 5.871

---

Energy relative to the most stable one, in kJ/mol of atoms: one 0.0; two 4.9